First-principles (PBE) data for a geometry-optimized Er4SiBi2 structure, as listed in the Alexandria database.

Calculated total energy ... -69.7 eV per cell

Geometry as CIF:
```
data_Er4SiBi2
_chemical_formula_sum 'Er8 Si2 Bi4'
_symmetry_space_group_name_H-M 'P 1'
_symmetry_Int_Tables_number 1
_cell_length_a 6.630
_cell_length_b 6.534
_cell_length_c 9.654
_cell_angle_alpha 90.00
_cell_angle_beta 108.42
_cell_angle_gamma 90.00
loop_
_symmetry_equiv_pos_as_xyz
'x,y,z'
loop_
_atom_site_label
_atom_site_type_symbol
_atom_site_fract_x
_atom_site_fract_y
_atom_site_fract_z
Er1 Er 0.485 0.003 0.243
Bi1 Bi 0.704 0.750 0.538
Si1 Si 0.136 0.750 0.161
Bi2 Bi 0.696 0.750 0.050
Bi3 Bi 0.296 0.250 0.462
Er2 Er 0.061 0.750 0.857
Er3 Er 0.939 0.250 0.143
Bi4 Bi 0.304 0.250 0.950
Er4 Er 0.877 0.250 0.555
Er5 Er 0.123 0.750 0.445
Er6 Er 0.515 0.503 0.757
Er7 Er 0.515 0.997 0.757
Er8 Er 0.485 0.497 0.243
Si2 Si 0.864 0.250 0.839
```